A relaxed structure of RbSrCr2O8, computed with PBE+U.

The structure in CIF format:
```
data_RbSrCr2O8
_chemical_formula_sum 'Rb1 Sr1 Cr2 O8'
_cell_length_a 5.932
_cell_length_b 5.932
_cell_length_c 8.364
_cell_angle_alpha 90.00
_cell_angle_beta 90.00
_cell_angle_gamma 120.00
_space_group_name_H-M_alt 'P 1'
_space_group_IT_number 1
_space_group_name_Hall 'P 1'
loop_
_atom_site_label
_atom_site_fract_x
_atom_site_fract_y
_atom_site_fract_z
Rb1 0.000 0.000 0.000
Sr1 0.000 0.000 0.500
Cr1 0.333 0.667 0.766
Cr2 0.667 0.333 0.234
O1 0.179 0.819 0.699
O2 0.181 0.360 0.699
O3 0.333 0.667 0.962
O4 0.360 0.179 0.301
O5 0.640 0.821 0.699
O6 0.667 0.333 0.038
O7 0.819 0.640 0.301
O8 0.821 0.181 0.301
```

The value obtained for the total energy is -6.3574 eV per atom.